First-principles (GGA-PBE) data for a relaxed structure of TiAsN3, as listed in Alexandria via LeMat-Bulk.

```
data_TiAsN3
_chemical_formula_sum 'Ti1 As1 N3'
_symmetry_space_group_name_H-M 'P m -3 m'
_symmetry_Int_Tables_number 221
_symmetry_space_group_name_Hall '-P 4 2 3'
_cell_length_a 3.6894
_cell_length_b 3.6894
_cell_length_c 3.6894
_cell_angle_alpha 90.00
_cell_angle_beta 90.00
_cell_angle_gamma 90.00
loop_
_atom_site_label
_atom_site_type_symbol
_atom_site_fract_x
_atom_site_fract_y
_atom_site_fract_z
Ti1 Ti 0.0000 0.0000 0.0000
As1 As 0.5000 0.5000 0.5000
N1 N 0.0000 0.5000 0.5000
```

Values from the calculation:
Density of states at the Fermi level (states/eV per cell): 1.17
Crystal system: cubic
Formation energy (no corrections) (eV/atom): 0.7720
Energy (eV per atom): -6.732